1.
Crystalline RuSe2BrCl at its relaxed geometry. Source: Alexandria via LeMat-Bulk, functional PBE.

It has space group P4/mmm (No. 123), with a = 4.809 Å, b = 4.809 Å, c = 5.193 Å, α = 90.00°, β = 90.00° and γ = 90.00°. The asymmetric unit holds Ru at (0.000, 0.000, 0.000), Se at (0.000, 0.500, 0.000), Br at (0.000, 0.000, 0.500) and Cl at (0.500, 0.500, 0.500).

As for the relative energy among the computed polymorphs: 0.0 kJ/mol of atoms. The energy relative to the elements, uncorrected comes out at 7.621 kcal/mol of atoms. The size of the total moment is 0.00 Bohr magnetons per cell.

2.
Crystalline ScBeTe4 at its relaxed geometry. Source: Alexandria via LeMat-Bulk, functional PBE.

It has space group F-43m (No. 216), with a = 8.854 Å, b = 8.854 Å, c = 8.854 Å, α = 90.00°, β = 90.00° and γ = 90.00°. The asymmetric unit holds Sc at (0.000, 0.000, 0.000), Be at (0.250, 0.250, 0.250) and Te at (0.125, 0.125, 0.625).

The energy relative to the elements, uncorrected comes out at 15.194 kcal/mol of atoms. The size of the total moment is 0.09 Bohr magnetons per cell.